No. 1
The following is a PBE-GGA calculation of CsMgAsPt after structural relaxation, from the Open Quantum Materials Database.

Computed properties:
ΔE to the lowest computed polymorph = 0.094 eV per atom
Spin magnetization = 0.01 μB per formula unit

CIF file:
```
data_CsMgAsPt
_cell_length_a 7.2290
_cell_length_b 7.2290
_cell_length_c 7.2290
_cell_angle_alpha 90.00
_cell_angle_beta 90.00
_cell_angle_gamma 90.00
_symmetry_space_group_name_H-M 'F -4 3 m'
_symmetry_Int_Tables_number 216
_symmetry_space_group_name_Hall 'F -4 2 3'
loop_
_atom_site_label
_atom_site_type_symbol
_atom_site_fract_x
_atom_site_fract_y
_atom_site_fract_z
_atom_site_occupancy
Cs1 Cs 0.0000 0.0000 0.0000 1
Mg1 Mg 0.2500 0.2500 0.2500 1
As1 As 0.0000 0.0000 0.5000 1
Pt1 Pt 0.2500 0.2500 0.7500 1
```



No. 2
The following is a PBE-GGA calculation of CsMg2Zn2As3 after structural relaxation, from the Open Quantum Materials Database.

Computed properties:
ΔE to the lowest computed polymorph = 0.034 eV per atom

CIF file:
```
data_CsMg2Zn2As3
_cell_length_a 4.3646
_cell_length_b 4.3646
_cell_length_c 10.7867
_cell_angle_alpha 90.00
_cell_angle_beta 90.00
_cell_angle_gamma 90.00
_symmetry_space_group_name_H-M 'P 4 m m'
_symmetry_Int_Tables_number 99
_symmetry_space_group_name_Hall 'P 4 -2'
loop_
_atom_site_label
_atom_site_type_symbol
_atom_site_fract_x
_atom_site_fract_y
_atom_site_fract_z
_atom_site_occupancy
Cs1 Cs 0.0000 0.0000 0.0000 1
Mg1 Mg 0.0000 0.5000 0.6529 1
Zn1 Zn 0.0000 0.5000 0.3439 1
As1 As 0.0000 0.0000 0.4951 1
As2 As 0.5000 0.5000 0.2214 1
As3 As 0.5000 0.5000 0.7851 1
```



No. 3
The following is a PBE-GGA calculation of CsMg2Zn2As3 after structural relaxation, from the Open Quantum Materials Database.

Computed properties:
ΔE to the lowest computed polymorph = 0.004 eV per atom

CIF file:
```
data_CsMg2Zn2As3
_cell_length_a 4.3388
_cell_length_b 4.3388
_cell_length_c 10.8656
_cell_angle_alpha 90.00
_cell_angle_beta 90.00
_cell_angle_gamma 90.00
_symmetry_space_group_name_H-M 'P -4 m 2'
_symmetry_Int_Tables_number 115
_symmetry_space_group_name_Hall 'P -4 -2'
loop_
_atom_site_label
_atom_site_type_symbol
_atom_site_fract_x
_atom_site_fract_y
_atom_site_fract_z
_atom_site_occupancy
Cs1 Cs 0.0000 0.0000 0.0000 1
Mg1 Mg 0.0000 0.5000 0.6504 1
Zn1 Zn 0.0000 0.5000 0.3410 1
As1 As 0.0000 0.0000 0.5000 1
As2 As 0.5000 0.5000 0.2175 1
```



No. 4
The following is a PBE-GGA calculation of CsMg2Zn2As3 after structural relaxation, from the Open Quantum Materials Database.

Computed properties:
ΔE to the lowest computed polymorph = 0.000 eV per atom

CIF file:
```
data_CsMg2Zn2As3
_cell_length_a 4.2515
_cell_length_b 4.4363
_cell_length_c 10.8537
_cell_angle_alpha 90.00
_cell_angle_beta 90.00
_cell_angle_gamma 90.00
_symmetry_space_group_name_H-M 'P m m m'
_symmetry_Int_Tables_number 47
_symmetry_space_group_name_Hall '-P 2 2'
loop_
_atom_site_label
_atom_site_type_symbol
_atom_site_fract_x
_atom_site_fract_y
_atom_site_fract_z
_atom_site_occupancy
Cs1 Cs 0.0000 0.0000 0.0000 1
Mg1 Mg 0.5000 0.0000 0.3462 1
Zn1 Zn 0.0000 0.5000 0.3438 1
As1 As 0.0000 0.0000 0.5000 1
As2 As 0.5000 0.5000 0.2177 1
```



No. 5
The following is a PBE-GGA calculation of Cs6MoAs3 after structural relaxation, from the Open Quantum Materials Database.

Computed properties:
Spin magnetization = 2.92 μB per formula unit

CIF file:
```
data_Cs6MoAs3
_cell_length_a 10.6048
_cell_length_b 6.4422
_cell_length_c 12.2028
_cell_angle_alpha 90.00
_cell_angle_beta 101.49
_cell_angle_gamma 90.00
_symmetry_space_group_name_H-M 'P 1 21/m 1'
_symmetry_Int_Tables_number 11
_symmetry_space_group_name_Hall '-P 2yb'
loop_
_atom_site_label
_atom_site_type_symbol
_atom_site_fract_x
_atom_site_fract_y
_atom_site_fract_z
_atom_site_occupancy
Cs1 Cs 0.0389 0.2500 0.0766 1
Cs2 Cs 0.0584 0.2500 0.4552 1
Cs3 Cs 0.2490 0.7500 0.7798 1
Cs4 Cs 0.3696 0.2500 0.9810 1
Cs5 Cs 0.3793 0.2500 0.3235 1
Cs6 Cs 0.4079 0.2500 0.6398 1
Mo1 Mo 0.1732 0.7500 0.2771 1
As1 As 0.0659 0.2500 0.7685 1
As2 As 0.2837 0.7500 0.4770 1
As3 As 0.3052 0.7500 0.1280 1
```



No. 6
The following is a PBE-GGA calculation of CsMoAs after structural relaxation, from the Open Quantum Materials Database.

Computed properties:
ΔE to the lowest computed polymorph = 0.000 eV per atom
Spin magnetization = 0.01 μB per formula unit

CIF file:
```
data_CsMoAs
_cell_length_a 6.6380
_cell_length_b 6.6380
_cell_length_c 6.6380
_cell_angle_alpha 90.00
_cell_angle_beta 90.00
_cell_angle_gamma 90.00
_symmetry_space_group_name_H-M 'F -4 3 m'
_symmetry_Int_Tables_number 216
_symmetry_space_group_name_Hall 'F -4 2 3'
loop_
_atom_site_label
_atom_site_type_symbol
_atom_site_fract_x
_atom_site_fract_y
_atom_site_fract_z
_atom_site_occupancy
Cs1 Cs 0.0000 0.0000 0.0000 1
Mo1 Mo 0.2500 0.2500 0.7500 1
As1 As 0.0000 0.0000 0.5000 1
```



No. 7
The following is a PBE-GGA calculation of CsMoAs after structural relaxation, from the Open Quantum Materials Database.

Computed properties:
ΔE to the lowest computed polymorph = 0.764 eV per atom
Spin magnetization = 4.00 μB per formula unit

CIF file:
```
data_CsMoAs
_cell_length_a 7.5690
_cell_length_b 7.5690
_cell_length_c 7.5690
_cell_angle_alpha 90.00
_cell_angle_beta 90.00
_cell_angle_gamma 90.00
_symmetry_space_group_name_H-M 'F -4 3 m'
_symmetry_Int_Tables_number 216
_symmetry_space_group_name_Hall 'F -4 2 3'
loop_
_atom_site_label
_atom_site_type_symbol
_atom_site_fract_x
_atom_site_fract_y
_atom_site_fract_z
_atom_site_occupancy
Cs1 Cs 0.0000 0.0000 0.0000 1
Mo1 Mo 0.2500 0.2500 0.2500 1
As1 As 0.2500 0.2500 0.7500 1
```



No. 8
The following is a PBE-GGA calculation of CsMoAs after structural relaxation, from the Open Quantum Materials Database.

Computed properties:
ΔE to the lowest computed polymorph = 0.104 eV per atom
Spin magnetization = 4.00 μB per formula unit

CIF file:
```
data_CsMoAs
_cell_length_a 7.4075
_cell_length_b 7.4075
_cell_length_c 7.4075
_cell_angle_alpha 90.00
_cell_angle_beta 90.00
_cell_angle_gamma 90.00
_symmetry_space_group_name_H-M 'F -4 3 m'
_symmetry_Int_Tables_number 216
_symmetry_space_group_name_Hall 'F -4 2 3'
loop_
_atom_site_label
_atom_site_type_symbol
_atom_site_fract_x
_atom_site_fract_y
_atom_site_fract_z
_atom_site_occupancy
Cs1 Cs 0.0000 0.0000 0.0000 1
Mo1 Mo 0.0000 0.0000 0.5000 1
As1 As 0.2500 0.2500 0.2500 1
```



| no. | E (eV/atom) |
| --- | --- |
| 1 | -2.88 |
| 2 | -3.03 |
| 3 | -3.06 |
| 4 | -3.07 |
| 5 | -3.17 |
| 6 | -4.24 |
| 7 | -3.48 |
| 8 | -4.14 |